Material: BeRu2Rh
Method: DFT, PBE-GGA
State: optimized geometry

Lattice parameters (Å, degrees): 3.5798 3.5798 17.5904 90.00 90.00 90.00
Space group I-42d (No. 122)
Unique sites:
1 Be 0.0000 0.0000 0.0000 (multiplicity 4)
2 Ru 0.2164 0.2500 0.1250 (multiplicity 8)
3 Rh 0.0000 0.0000 0.5000 (multiplicity 4)

Computed properties:
The formation energy from the elements is 0.441 eV per atom. As for the size of the total moment: 0.00 Bohr magnetons per cell.

Material: TmCuSi
Method: DFT, PBE-GGA
State: optimized geometry

Lattice parameters (Å, degrees): 3.1993 3.1993 10.2330 90.00 90.00 90.00
Space group I4mm (No. 107)
Unique sites:
1 Tm 0.0000 0.0000 0.0000 (multiplicity 2)
2 Cu 0.0000 0.0000 0.6927 (multiplicity 2)
3 Si 0.0000 0.0000 0.3037 (multiplicity 2)

Computed properties:
The formation energy from raw total energies is -4.842 kcal/mol of atoms. As for the size of the total moment: 0.00 Bohr magnetons per cell.

Material: Co2Pb3
Method: DFT, PBE-GGA
State: optimized geometry

Lattice parameters (Å, degrees): 4.6969 4.6969 5.4475 90.00 90.00 120.00
Space group P-3m1 (No. 164)
Unique sites:
1 Co 0.3333 0.6667 0.3566 (multiplicity 2)
2 Pb 0.0000 0.0000 0.5000 (multiplicity 1)
3 Pb 0.3333 0.6667 0.8485 (multiplicity 2)

Computed properties:
The formation energy from the elements is 0.426 eV per atom. As for the size of the total moment: 0.15 Bohr magnetons per cell.

Material: ThNi3As3
Method: DFT, PBE-GGA
State: optimized geometry

Lattice parameters (Å, degrees): 6.3754 6.3754 6.3754 90.00 90.00 90.00
Space group Pm-3n (No. 223)
Unique sites:
1 Th 0.0000 0.0000 0.0000 (multiplicity 2)
2 Ni 0.0000 0.2500 0.5000 (multiplicity 6)
3 As 0.0000 0.5000 0.2500 (multiplicity 6)

Computed properties:
The calculation puts the energy above the lowest structure with this stoichiometry at 0.157 eV/atom. The formation energy from the elements is -0.403 eV per atom. As for the size of the total moment: 0.00 Bohr magnetons per cell.

Material: NdTl3Pd3
Method: DFT, PBE-GGA
State: optimized geometry

Lattice parameters (Å, degrees): 8.3642 8.3642 16.9573 90.00 90.00 120.00
Space group R-3 (No. 148, hexagonal axes)
Unique sites:
1 Nd 0.0000 0.0000 0.1684 (multiplicity 6)
2 Tl 0.0073 0.6860 0.6185 (multiplicity 18)
3 Pd 0.0028 0.6902 0.4521 (multiplicity 18)

Computed properties:
The calculation puts the energy above the lowest structure with this stoichiometry at 0.000 eV/atom. The formation energy from the elements is -0.285 eV per atom. As for the size of the total moment: 0.00 Bohr magnetons per cell.

Material: BaAs2O2
Method: DFT, PBE-GGA
State: optimized geometry

Lattice parameters (Å, degrees): 7.8484 7.8484 3.7618 90.00 90.00 90.00
Space group P4/mbm (No. 127)
Unique sites:
1 Ba 0.0000 0.0000 0.0000 (multiplicity 2)
2 As 0.1130 0.3870 0.0000 (multiplicity 4)
3 O 0.1836 0.3164 0.5000 (multiplicity 4)

Computed properties:
The formation energy from raw total energies is -16.880 kcal/mol of atoms. The calculation puts the energy above the lowest structure with this stoichiometry at 0.000 eV/atom. As for the size of the total moment: 0.00 Bohr magnetons per cell.

Question: Which formula does entry 2 have?
Answer: TmCuSi

Question: Look up the size of the total moment of the fourth one.
Answer: 0.00 Bohr magnetons per cell

Question: The highest size of the total moment belongs to which entry?
Answer: Co2Pb3

What did the fourth record say?
Material: ThNi3As3
Method: DFT, PBE-GGA
State: optimized geometry

Lattice parameters (Å, degrees): 6.3754 6.3754 6.3754 90.00 90.00 90.00
Space group Pm-3n (No. 223)
Unique sites:
1 Th 0.0000 0.0000 0.0000 (multiplicity 2)
2 Ni 0.0000 0.2500 0.5000 (multiplicity 6)
3 As 0.0000 0.5000 0.2500 (multiplicity 6)

Computed properties:
The calculation puts the energy above the lowest structure with this stoichiometry at 0.157 eV/atom. The formation energy from the elements is -0.403 eV per atom. As for the size of the total moment: 0.00 Bohr magnetons per cell.